1.
A plane-wave DFT calculation with PBE-GGA was carried out for Ti2SbSe6 after structural relaxation.

E, eV per atom: -5.32
Total magnetization, μB/f.u.: 0.00
Space group: C2/m, No. 12
Uncorrected formation energy, eV per atom: -0.788
DOS(E_F), states/eV per atom: 0.188

The structure in POSCAR format:
```
Ti2SbSe6
1.0
8.902 -1.806 0.000
8.902 1.806 0.000
-2.655 0.000 7.552
Ti Sb Se
2 1 6
Direct
0.172 0.172 0.349
0.828 0.828 0.651
0.500 0.500 0.000
0.019 0.019 0.272
0.323 0.323 0.416
0.335 0.335 0.886
0.665 0.665 0.114
0.677 0.677 0.584
0.981 0.981 0.728
```

=====

2.
A plane-wave DFT calculation with PBE-GGA was carried out for CuBi2Au after structural relaxation.

E, eV per atom: -3.41
Total magnetization, μB/f.u.: 0.00
E_form, eV/atom: 0.370
Space group: R-3m, No. 166
DOS(E_F), states/eV per atom: 0.333

The structure in POSCAR format:
```
CuBi2Au
1.0
3.554 0.000 0.000
-1.777 3.078 0.000
0.000 0.000 29.011
Cu Bi Au
3 6 3
Direct
0.000 0.000 0.000
0.333 0.667 0.667
0.667 0.333 0.333
0.000 0.000 0.091
0.000 0.000 0.909
0.333 0.667 0.576
0.333 0.667 0.757
0.667 0.333 0.243
0.667 0.333 0.424
0.000 0.000 0.500
0.333 0.667 0.167
0.667 0.333 0.833
```

=====

3.
A plane-wave DFT calculation with PBE-GGA was carried out for Li2P2Au after structural relaxation.

E, eV per atom: -4.01
Total magnetization, μB/f.u.: 0.00
E_form, eV/atom: -0.430
Space group: C2/m, No. 12
DOS(E_F), states/eV per atom: 0.248

The structure in POSCAR format:
```
Li2P2Au
1.0
4.903 -2.056 0.000
4.903 2.056 0.000
-4.404 0.000 8.345
Li P Au
4 4 2
Direct
0.009 0.009 0.304
0.184 0.184 0.091
0.816 0.816 0.909
0.991 0.991 0.696
0.378 0.378 0.441
0.476 0.476 0.103
0.524 0.524 0.897
0.622 0.622 0.559
0.266 0.266 0.668
0.734 0.734 0.332
```

=====

4.
A plane-wave DFT calculation with PBE-GGA was carried out for LiTbI3 after structural relaxation.

E, eV per atom: -3.37
Total magnetization, μB/f.u.: 0.98
Space group: P-1, No. 2
Uncorrected formation energy, eV per atom: -1.131
DOS(E_F), states/eV per atom: 0.111

The structure in POSCAR format:
```
LiTbI3
1.0
7.283 0.000 0.000
3.250 6.567 0.000
3.377 1.864 7.293
Li Tb I
2 2 6
Direct
0.149 0.168 0.018
0.851 0.832 0.982
0.365 0.363 0.489
0.635 0.637 0.511
0.072 0.430 0.249
0.239 0.944 0.732
0.432 0.764 0.205
0.568 0.236 0.795
0.761 0.056 0.268
0.928 0.570 0.751
```

=====

5.
A plane-wave DFT calculation with PBE-GGA was carried out for Pr6SmDy3Ho2 after structural relaxation.

E, eV per atom: -4.68
Total magnetization, μB/f.u.: 0.00
E_form, eV/atom: 0.012
Space group: C2/m, No. 12
DOS(E_F), states/eV per atom: 1.133

The structure in POSCAR format:
```
Pr6SmDy3Ho2
1.0
3.157 -5.468 0.000
3.157 5.468 0.000
-2.099 0.000 11.729
Pr Sm Dy Ho
6 1 3 2
Direct
0.082 0.416 0.250
0.250 0.250 0.750
0.416 0.082 0.250
0.584 0.918 0.750
0.750 0.750 0.250
0.918 0.584 0.750
0.500 0.500 0.500
0.000 0.000 0.000
0.333 0.667 0.000
0.667 0.333 0.000
0.167 0.833 0.500
0.833 0.167 0.500
```

=====

6.
A plane-wave DFT calculation with PBE-GGA was carried out for TaCuW after structural relaxation.

E, eV per atom: -9.36
Total magnetization, μB/f.u.: 0.00
E_form, eV/atom: 0.278
Space group: I4mm, No. 107
DOS(E_F), states/eV per atom: 0.741

The structure in POSCAR format:
```
TaCuW
1.0
3.313 0.000 0.000
0.000 3.313 0.000
0.000 0.000 8.550
Ta Cu W
2 2 2
Direct
0.000 0.000 0.000
0.500 0.500 0.500
0.000 0.000 0.330
0.500 0.500 0.830
0.000 0.000 0.671
0.500 0.500 0.171
```